[1]
VASP calculation (GGA-PBE) on a relaxed structure of LiLuAlAg.

Output
space-group type = F-43m, No. 216

Cell: 4.6976 4.6976 4.6976 Å, 60.00 60.00 60.00°
Last column: nearest neighbours and their distance in Å.
Atoms (fractional coordinates):
Al  0.5000  0.5000  0.5000  4 Li 2.88, 4 Ag 2.88
Lu  0.0000  0.0000  0.0000  4 Li 2.88, 4 Ag 2.88
Li  0.7500  0.7500  0.7500  4 Al 2.88, 4 Lu 2.88
Ag  0.2500  0.2500  0.2500  4 Lu 2.88, 4 Al 2.88

---

[2]
VASP calculation (GGA-PBE) on a relaxed structure of Ac2AgPdO6.

Output
energy relative to the elements, uncorrected = -166.2 kJ per mole of atoms
space-group type = P4mm, No. 99

Cell: 4.1786 5.8577 5.8577 Å, 90.00 90.00 90.00°
Last column: nearest neighbours and their distance in Å.
Atoms (fractional coordinates):
O  0.1485  0.0000  0.0000  2 Pd 2.08-2.10
O  0.1300  0.5000  0.5000  2 Ag 2.07-2.11
Ac  0.0832  0.0000  0.5000  8 O 2.66-2.94
Ac  0.0832  0.5000  0.0000  8 O 2.66-2.94
Pd  0.6464  0.0000  0.0000  6 O 2.01-2.10
O  0.6826  0.7575  0.7575  1 Pd 2.01, 1 Ag 2.15
O  0.6826  0.2425  0.2425  1 Pd 2.01, 1 Ag 2.15
Ag  0.6253  0.5000  0.5000  6 O 2.07-2.15
O  0.6826  0.2425  0.7575  1 Pd 2.01, 1 Ag 2.15
O  0.6826  0.7575  0.2425  1 Pd 2.01, 1 Ag 2.15

---

[3]
VASP calculation (GGA-PBE) on a relaxed structure of ReSiCl.

Output
energy relative to the elements, uncorrected = 50.6 kJ per mole of atoms
space-group type = Fmm2, No. 42

Cell: 7.9049 7.5959 2.9581 Å, 84.94 73.17 21.89°
Last column: nearest neighbours and their distance in Å.
Atoms (fractional coordinates):
Si  0.6940  0.6940  0.3060  2 Re 2.57, 2 Si 2.81
Cl  0.9682  0.9682  0.0318  2 Re 2.40
Re  0.3378  0.3378  0.6622  2 Cl 2.40, 2 Si 2.57

---

[4]
VASP calculation (GGA-PBE) on a relaxed structure of La2NpNbN6.

Output
energy relative to the elements, uncorrected = -111.9 kJ per mole of atoms
space-group type = P2_1/c, No. 14

Cell: 5.8739 5.8366 8.2411 Å, 90.00 89.91 90.00°
Last column: nearest neighbours and their distance in Å.
Atoms (fractional coordinates):
N  0.7205  0.2866  0.9572  1 Np 2.09, 1 Nb 2.14
N  0.2795  0.7134  0.0428  1 Np 2.09, 1 Nb 2.14
N  0.5845  0.0136  0.2502  1 Np 2.12, 1 Nb 2.12
La  0.9937  0.0278  0.7491  5 N 2.49-2.75
La  0.4937  0.4722  0.2491  5 N 2.49-2.75
N  0.2778  0.7176  0.4534  1 Nb 2.10, 1 Np 2.14
La  0.0063  0.9722  0.2509  5 N 2.49-2.75
N  0.2205  0.2134  0.4572  1 Np 2.09, 1 Nb 2.14
Nb  0.0000  0.5000  0.5000  6 N 2.10-2.14
N  0.7222  0.2824  0.5466  1 Nb 2.10, 1 Np 2.14
N  0.9155  0.5136  0.2498  1 Np 2.12, 1 Nb 2.12
Np  0.5000  0.0000  0.5000  6 N 2.09-2.14
N  0.4155  0.9864  0.7498  1 Np 2.12, 1 Nb 2.12
N  0.2222  0.2176  0.0466  1 Nb 2.10, 1 Np 2.14
Np  0.0000  0.5000  0.0000  6 N 2.09-2.14
Nb  0.5000  0.0000  0.0000  6 N 2.10-2.14
La  0.5063  0.5278  0.7509  5 N 2.49-2.75
N  0.7778  0.7824  0.9534  1 Nb 2.10, 1 Np 2.14
N  0.7795  0.7866  0.5428  1 Np 2.09, 1 Nb 2.14
N  0.0845  0.4864  0.7502  1 Np 2.12, 1 Nb 2.12

---

[5]
VASP calculation (GGA-PBE) on a relaxed structure of ScU4Ga15.

Output
space-group type = P4/mmm, No. 123

Cell: 4.2320 4.2320 21.2440 Å, 90.00 90.00 90.00°
Last column: nearest neighbours and their distance in Å.
Atoms (fractional coordinates):
Ga  0.0000  0.5000  0.2973  8 Ga 2.99-3.02, 4 U 3.02-3.03
U  0.0000  0.0000  0.6013  12 Ga 2.99-3.02
Ga  0.5000  0.0000  0.2973  8 Ga 2.99-3.02, 4 U 3.02-3.03
Ga  0.5000  0.0000  0.0953  2 Sc 2.93, 8 Ga 2.93-3.03, 2 U 3.00
Ga  0.5000  0.0000  0.5000  8 Ga 2.99-3.02, 4 U 3.02
Ga  0.0000  0.5000  0.9047  8 Ga 2.93-3.03, 2 Sc 2.93, 2 U 3.00
Sc  0.0000  0.0000  0.0000  12 Ga 2.93-2.99
Ga  0.5000  0.5000  0.3986  4 U 2.99, 8 Ga 3.02
Ga  0.5000  0.5000  0.6014  4 U 2.99, 8 Ga 3.02
Ga  0.0000  0.5000  0.0953  8 Ga 2.93-3.03, 2 Sc 2.93, 2 U 3.00
Ga  0.0000  0.5000  0.5000  8 Ga 2.99-3.02, 4 U 3.02
Ga  0.5000  0.0000  0.7027  8 Ga 2.99-3.02, 4 U 3.02-3.03
U  0.0000  0.0000  0.1955  12 Ga 2.99-3.03
Ga  0.0000  0.5000  0.7027  8 Ga 2.99-3.02, 4 U 3.02-3.03
Ga  0.5000  0.5000  0.0000  8 Ga 2.93, 4 Sc 2.99
U  0.0000  0.0000  0.8045  12 Ga 2.99-3.03
Ga  0.5000  0.5000  0.1976  4 U 2.99, 8 Ga 2.99-3.03
Ga  0.5000  0.0000  0.9047  2 Sc 2.93, 8 Ga 2.93-3.03, 2 U 3.00
U  0.0000  0.0000  0.3987  12 Ga 2.99-3.02
Ga  0.5000  0.5000  0.8024  4 U 2.99, 8 Ga 2.99-3.03

---

[6]
VASP calculation (GGA-PBE) on a relaxed structure of SmPuN.

Output
energy relative to the elements, uncorrected = -30.6 kJ per mole of atoms
space-group type = Pnma, No. 62

Cell: 3.3533 5.9679 12.0375 Å, 90.00 90.00 90.00°
Last column: nearest neighbours and their distance in Å.
Atoms (fractional coordinates):
Sm  0.7500  0.6355  0.3067  4 N 2.48-2.63
Sm  0.2500  0.3645  0.6933  4 N 2.48-2.63
N  0.7500  0.5627  0.8304  4 Sm 2.48-2.63, 3 Pu 2.50-2.54
Pu  0.7500  0.6105  0.0369  2 Pu 2.31, 3 N 2.50-2.54
N  0.7500  0.0627  0.6696  4 Sm 2.48-2.63, 3 Pu 2.50-2.54
Sm  0.2500  0.8645  0.8067  4 N 2.48-2.63
Sm  0.7500  0.1355  0.1933  4 N 2.48-2.63
Pu  0.2500  0.3895  0.9631  2 Pu 2.31, 3 N 2.50-2.54
N  0.2500  0.9373  0.3304  4 Sm 2.48-2.63, 3 Pu 2.50-2.54
Pu  0.7500  0.1105  0.4631  2 Pu 2.31, 3 N 2.50-2.54
N  0.2500  0.4373  0.1696  4 Sm 2.48-2.63, 3 Pu 2.50-2.54
Pu  0.2500  0.8895  0.5369  2 Pu 2.31, 3 N 2.50-2.54

---

[7]
VASP calculation (GGA-PBE) on a relaxed structure of Ce2PmP.

Output
space-group type = R-3m, No. 166

Cell: 3.7672 3.7672 10.1193 Å, 79.27 79.27 60.00°
Last column: nearest neighbours and their distance in Å.
Atoms (fractional coordinates):
Ce  0.1088  0.1088  0.6737  3 P 2.77
P  0.5000  0.5000  0.5000  6 Ce 2.77
Ce  0.8912  0.8912  0.3263  3 P 2.77
Pm  0.0000  0.0000  0.0000  2 Ce 3.22

---

[8]
VASP calculation (GGA-PBE) on a relaxed structure of ZrTcRu2S.

Output
energy relative to the elements, uncorrected = -1.0 kJ per mole of atoms
space-group type = P4/mmm, No. 123

Cell: 4.3571 4.3693 4.3571 Å, 90.00 90.00 90.00°
Last column: nearest neighbours and their distance in Å.
Atoms (fractional coordinates):
S  0.0000  0.0000  0.0000  4 Ru 2.18, 2 Tc 2.18
Ru  0.0000  0.0000  0.5000  2 S 2.18
Ru  0.5000  0.0000  0.0000  2 S 2.18
Zr  0.5000  0.5000  0.5000  4 Tc 3.08, 8 Ru 3.09
Tc  0.0000  0.5000  0.0000  2 S 2.18

---

[9]
VASP calculation (GGA-PBE) on a relaxed structure of NbB3F.

Output
energy relative to the elements, uncorrected = 163.7 kJ per mole of atoms
space-group type = Pm-3m, No. 221

Cell: 4.3817 4.3817 4.3817 Å, 90.00 90.00 90.00°
Last column: nearest neighbours and their distance in Å.
Atoms (fractional coordinates):
F  0.5000  0.5000  0.5000  12 B 3.10
B  0.0000  0.0000  0.5000  2 Nb 2.19
B  0.0000  0.5000  0.0000  2 Nb 2.19
Nb  0.0000  0.0000  0.0000  6 B 2.19
B  0.5000  0.0000  0.0000  2 Nb 2.19

---

[10]
VASP calculation (GGA-PBE) on a relaxed structure of KCa2Te2O6.

Output
energy relative to the elements, uncorrected = -162.6 kJ per mole of atoms
space-group type = P-1, No. 2

Cell: 6.2750 6.6104 6.9845 Å, 121.85 79.19 71.66°
Last column: nearest neighbours and their distance in Å.
Atoms (fractional coordinates):
Te  0.7541  0.2570  0.2225  3 O 1.93-2.05
O  0.1343  0.8888  0.5971  1 Te 2.05, 1 Ca 2.28
O  0.1151  0.5190  0.7865  1 Te 1.93
K  0.5000  0.0000  0.5000  4 O 2.70-2.71
O  0.5659  0.2916  0.0314  1 Te 1.99
Ca  0.1671  0.6446  0.2001  5 O 2.28-2.41
O  0.8657  0.1112  0.4029  1 Te 2.05, 1 Ca 2.28
O  0.8849  0.4810  0.2135  1 Te 1.93
Ca  0.8329  0.3554  0.7999  5 O 2.28-2.41
Te  0.2459  0.7430  0.7775  3 O 1.93-2.05
O  0.4341  0.7084  0.9686  1 Te 1.99

---

[11]
VASP calculation (GGA-PBE) on a relaxed structure of HfRe2F.

Output
energy relative to the elements, uncorrected = 67.1 kJ per mole of atoms
space-group type = Fm-3m, No. 225

Cell: 4.4809 4.4809 4.4809 Å, 60.00 60.00 60.00°
Last column: nearest neighbours and their distance in Å.
Atoms (fractional coordinates):
Hf  0.5000  0.5000  0.5000  8 Re 2.74
F  0.0000  0.0000  0.0000  8 Re 2.74
Re  0.2500  0.2500  0.2500  4 Hf 2.74, 4 F 2.74
Re  0.7500  0.7500  0.7500  4 Hf 2.74, 4 F 2.74

---

[12]
VASP calculation (GGA-PBE) on a relaxed structure of BiTeH.

Output
space-group type = P1, No. 1

Cell: 4.4511 6.2474 6.9021 Å, 116.56 89.65 89.93°
Last column: nearest neighbours and their distance in Å.
Atoms (fractional coordinates):
Te  0.4348  0.8589  0.0740  2 Bi 2.96-3.00
H  0.4040  0.0817  0.6366  1 Bi 1.93
H  0.9345  0.2054  0.8763  1 Bi 1.93
Te  0.9046  0.5394  0.4390  2 Bi 2.96-3.00
Bi  0.2929  0.3155  0.0488  1 H 1.93
Bi  0.0458  0.0210  0.4638  1 H 1.93

---

Looking at calculated density for the records above, in order, we have 7.2; 8.9; 7.6; 8.1; 8.9; 11.3; 6.2; 8.5; 2.8; 3.7; 14.9; 6.5 g cm⁻³.
Looking at total energy for the records above, in order, we have -3.566; -6.323; -6.048; -9.441; -5.136; -9.443; -5.936; -8.329; -4.699; -5.425; -8.485; -3.325 eV/atom.